# 1
A plane-wave DFT calculation with PBE was carried out for an optimized crystal structure of Rb3ZnCr.

The value obtained for the relative energy among the computed polymorphs is 0 meV/atom. As for the formation energy: 757 meV/atom. For the total energy, the calculation gives -2.003 eV per atom.

The structure belongs to space group Pm-3m (No. 221); the cell edges are 6.7396, 6.7396 and 6.7396 Å and the angles 90.00°, 90.00° and 90.00°. Symmetry generates all atoms from Rb at (0.0000, 0.0000, 0.5000), Zn at (0.0000, 0.0000, 0.0000) and Cr at (0.5000, 0.5000, 0.5000).

# 2
A plane-wave DFT calculation with PBE was carried out for an optimized crystal structure of RbZr3Cr.

The value obtained for the relative energy among the computed polymorphs is 1680 meV/atom. As for the formation energy: 2576 meV/atom. For the total energy, the calculation gives -4.671 eV per atom.

The structure belongs to space group Pm-3m (No. 221); the cell edges are 4.9586, 4.9586 and 4.9586 Å and the angles 90.00°, 90.00° and 90.00°. Symmetry generates all atoms from Rb at (0.0000, 0.0000, 0.0000), Zr at (0.0000, 0.0000, 0.5000) and Cr at (0.5000, 0.5000, 0.5000).

# 3
A plane-wave DFT calculation with PBE was carried out for an optimized crystal structure of RbZrCr3.

The value obtained for the relative energy among the computed polymorphs is 144 meV/atom. As for the formation energy: 2410 meV/atom. For the total energy, the calculation gives -5.267 eV per atom.

The structure belongs to space group Pm-3m (No. 221); the cell edges are 4.8607, 4.8607 and 4.8607 Å and the angles 90.00°, 90.00° and 90.00°. Symmetry generates all atoms from Rb at (0.0000, 0.0000, 0.0000), Zr at (0.5000, 0.5000, 0.5000) and Cr at (0.0000, 0.0000, 0.5000).

# 4
A plane-wave DFT calculation with PBE was carried out for an optimized crystal structure of RbZr3Cr.

The value obtained for the relative energy among the computed polymorphs is 0 meV/atom. As for the formation energy: 896 meV/atom. For the total energy, the calculation gives -6.351 eV per atom.

The structure belongs to space group Pm-3m (No. 221); the cell edges are 5.1125, 5.1125 and 5.1125 Å and the angles 90.00°, 90.00° and 90.00°. Symmetry generates all atoms from Rb at (0.0000, 0.0000, 0.0000), Zr at (0.0000, 0.5000, 0.5000) and Cr at (0.5000, 0.5000, 0.5000).

# 5
A plane-wave DFT calculation with PBE was carried out for an optimized crystal structure of Rb2ZrCr.

The value obtained for the relative energy among the computed polymorphs is 361 meV/atom. As for the formation energy: 1689 meV/atom. For the total energy, the calculation gives -3.338 eV per atom.

The structure belongs to space group Fm-3m (No. 225); the cell edges are 8.8872, 8.8872 and 8.8872 Å and the angles 90.00°, 90.00° and 90.00°. Symmetry generates all atoms from Rb at (0.2500, 0.2500, 0.2500), Zr at (0.0000, 0.0000, 0.0000) and Cr at (0.0000, 0.0000, 0.5000).

# 6
A plane-wave DFT calculation with PBE was carried out for an optimized crystal structure of Rb2ZrCr.

The value obtained for the relative energy among the computed polymorphs is 0 meV/atom. As for the formation energy: 1328 meV/atom. For the total energy, the calculation gives -3.698 eV per atom.

The structure belongs to space group I-42d (No. 122); the cell edges are 13.5154, 13.5154 and 4.8145 Å and the angles 90.00°, 90.00° and 90.00°. Symmetry generates all atoms from Rb at (0.0928, 0.2500, 0.1250), Zr at (0.0000, 0.0000, 0.5000) and Cr at (0.0000, 0.0000, 0.0000).

# 7
A plane-wave DFT calculation with PBE was carried out for an optimized crystal structure of Rb3ZrCr.

The value obtained for the relative energy among the computed polymorphs is 0 meV/atom. As for the formation energy: 1511 meV/atom. For the total energy, the calculation gives -2.704 eV per atom.

The structure belongs to space group Pm-3m (No. 221); the cell edges are 6.8279, 6.8279 and 6.8279 Å and the angles 90.00°, 90.00° and 90.00°. Symmetry generates all atoms from Rb at (0.0000, 0.0000, 0.5000), Zr at (0.5000, 0.5000, 0.5000) and Cr at (0.0000, 0.0000, 0.0000).

# 8
A plane-wave DFT calculation with PBE was carried out for an optimized crystal structure of RbZrCr3.

The value obtained for the relative energy among the computed polymorphs is 0 meV/atom. As for the formation energy: 2266 meV/atom. For the total energy, the calculation gives -5.411 eV per atom.

The structure belongs to space group Pm-3m (No. 221); the cell edges are 4.9897, 4.9897 and 4.9897 Å and the angles 90.00°, 90.00° and 90.00°. Symmetry generates all atoms from Rb at (0.0000, 0.0000, 0.0000), Zr at (0.5000, 0.5000, 0.5000) and Cr at (0.0000, 0.5000, 0.5000).

# 9
A plane-wave DFT calculation with PBE was carried out for an optimized crystal structure of CrRe.

As for the formation energy: 229 meV/atom. For the total energy, the calculation gives -10.807 eV per atom.

The structure belongs to space group R-3m (No. 166, hexagonal axes); the cell edges are 2.7632, 2.7632 and 24.7820 Å and the angles 90.00°, 90.00° and 120.00°. Symmetry generates all atoms from Cr at (0.0000, 0.0000, 0.1316) and Re at (0.0000, 0.0000, 0.3786).

# 10
A plane-wave DFT calculation with PBE was carried out for an optimized crystal structure of Cr2Re.

As for the formation energy: 515 meV/atom. For the total energy, the calculation gives -10.050 eV per atom.

The structure belongs to space group I4_1/amd (No. 141, origin choice 2); the cell edges are 2.8646, 2.8646 and 20.0104 Å and the angles 90.00°, 90.00° and 90.00°. Symmetry generates all atoms from Cr at (0.0000, 0.2500, 0.2950) and Re at (0.0000, 0.2500, 0.8750).

# 11
A plane-wave DFT calculation with PBE was carried out for an optimized crystal structure of CrRe.

As for the formation energy: 413 meV/atom. For the total energy, the calculation gives -10.623 eV per atom.

The structure belongs to space group P4/m (No. 83); the cell edges are 7.4212, 7.4212 and 4.2092 Å and the angles 90.00°, 90.00° and 90.00°. Symmetry generates all atoms from Cr at (0.0268, 0.6947, 0.0000), Cr at (0.1153, 0.1904, 0.5000), Re at (0.1708, 0.5353, 0.5000) and Re at (0.2924, 0.3674, 0.0000).

# 12
A plane-wave DFT calculation with PBE was carried out for an optimized crystal structure of Cr2Re.

As for the formation energy: 151 meV/atom. For the total energy, the calculation gives -10.414 eV per atom.

The structure belongs to space group Pnnm (No. 58); the cell edges are 2.5591, 7.3608 and 4.1673 Å and the angles 90.00°, 90.00° and 90.00°. Symmetry generates all atoms from Cr at (0.1743, 0.1608, 0.0000) and Re at (0.0000, 0.5000, 0.0000).

# 13
A plane-wave DFT calculation with PBE was carried out for an optimized crystal structure of Cr4Re3.

As for the formation energy: 27 meV/atom. For the total energy, the calculation gives -10.807 eV per atom.

The structure belongs to space group I4/mmm (No. 139); the cell edges are 2.9320, 2.9320 and 21.3187 Å and the angles 90.00°, 90.00° and 90.00°. Symmetry generates all atoms from Cr at (0.0000, 0.0000, 0.0732), Cr at (0.0000, 0.0000, 0.3650), Re at (0.0000, 0.0000, 0.2084) and Re at (0.0000, 0.0000, 0.5000).

# 14
A plane-wave DFT calculation with PBE was carried out for an optimized crystal structure of Cr3Re5.

The value obtained for the relative energy among the computed polymorphs is 0 meV/atom. As for the formation energy: 156 meV/atom. For the total energy, the calculation gives -11.233 eV per atom.

The structure belongs to space group C2/c (No. 15); the cell edges are 10.7765, 9.6621 and 4.7842 Å and the angles 90.00°, 116.35° and 90.00°. Symmetry generates all atoms from Cr at (0.0000, 0.0005, 0.2500), Cr at (0.1802, 0.3199, 0.1804), Re at (0.0000, 0.4998, 0.2500), Re at (0.0686, 0.2268, 0.5687) and Re at (0.2265, 0.0686, 0.2265).

# 15
A plane-wave DFT calculation with PBE was carried out for an optimized crystal structure of Cr11Re4.

As for the formation energy: 46 meV/atom. For the total energy, the calculation gives -10.331 eV per atom.

The structure belongs to space group P4_2/mnm (No. 136); the cell edges are 9.0368, 9.0368 and 4.6623 Å and the angles 90.00°, 90.00° and 90.00°. Symmetry generates all atoms from Cr at (0.0000, 0.0000, 0.0000), Cr at (0.0623, 0.2498, 0.0000), Cr at (0.0949, 0.0949, 0.5000), Cr at (0.1865, 0.8135, 0.2534) and Re at (0.0352, 0.3612, 0.5000).

# 16
A plane-wave DFT calculation with PBE was carried out for an optimized crystal structure of CrRe2.

As for the formation energy: 112 meV/atom. For the total energy, the calculation gives -11.394 eV per atom.

The structure belongs to space group I4/mmm (No. 139); the cell edges are 3.0190, 3.0190 and 9.1915 Å and the angles 90.00°, 90.00° and 90.00°. Symmetry generates all atoms from Cr at (0.0000, 0.0000, 0.0000) and Re at (0.0000, 0.0000, 0.3400).

# 17
A plane-wave DFT calculation with PBE was carried out for an optimized crystal structure of Cr5Re.

The value obtained for the relative energy among the computed polymorphs is 9 meV/atom. As for the formation energy: 6 meV/atom. For the total energy, the calculation gives -10.088 eV per atom.

The structure belongs to space group C2/m (No. 12); the cell edges are 9.1697, 2.9043 and 5.8102 Å and the angles 90.00°, 108.57° and 90.00°. Symmetry generates all atoms from Cr at (0.0000, 0.0000, 0.0000), Cr at (0.1692, 0.5000, 0.3278), Cr at (0.1699, 0.5000, 0.8417) and Re at (0.0000, 0.0000, 0.5000).

# 18
A plane-wave DFT calculation with PBE was carried out for an optimized crystal structure of CrRe.

As for the formation energy: 1239 meV/atom. For the total energy, the calculation gives -9.797 eV per atom.

The structure belongs to space group P6_3/mmc (No. 194); the cell edges are 4.0861, 4.0861 and 4.8929 Å and the angles 90.00°, 90.00° and 120.00°. Symmetry generates all atoms from Cr at (0.3333, 0.6667, 0.2500) and Re at (0.3333, 0.6667, 0.7500).

# 19
A plane-wave DFT calculation with PBE was carried out for an optimized crystal structure of CrRe2.

As for the formation energy: 153 meV/atom. For the total energy, the calculation gives -11.353 eV per atom.

The structure belongs to space group I4/mcm (No. 140); the cell edges are 6.0474, 6.0474 and 4.6407 Å and the angles 90.00°, 90.00° and 90.00°. Symmetry generates all atoms from Cr at (0.0000, 0.0000, 0.2500) and Re at (0.1513, 0.3487, 0.0000).

# 20
A plane-wave DFT calculation with PBE was carried out for an optimized crystal structure of CrRe.

As for the formation energy: 261 meV/atom. For the total energy, the calculation gives -10.775 eV per atom.

The structure belongs to space group P-3m1 (No. 164); the cell edges are 2.7635, 2.7635 and 8.2879 Å and the angles 90.00°, 90.00° and 120.00°. Symmetry generates all atoms from Cr at (0.3333, 0.6667, 0.4007) and Re at (0.3333, 0.6667, 0.8686).

# 21
A plane-wave DFT calculation with PBE was carried out for an optimized crystal structure of CrRe.

As for the formation energy: 2040 meV/atom. For the total energy, the calculation gives -8.996 eV per atom.

The structure belongs to space group I-43m (No. 217); the cell edges are 7.5421, 7.5421 and 7.5421 Å and the angles 90.00°, 90.00° and 90.00°. Symmetry generates all atoms from Cr at (0.1798, 0.1798, 0.1798) and Re at (0.1320, 0.1320, 0.8680).

# 22
A plane-wave DFT calculation with PBE was carried out for an optimized crystal structure of CrRe.

As for the formation energy: 77 meV/atom. For the total energy, the calculation gives -10.959 eV per atom.

The structure belongs to space group Fd-3m (No. 227, origin choice 2); the cell edges are 6.0061, 6.0061 and 6.0061 Å and the angles 90.00°, 90.00° and 90.00°. Symmetry generates all atoms from Cr at (0.1250, 0.1250, 0.1250) and Re at (0.1250, 0.1250, 0.6250).

# 23
A plane-wave DFT calculation with PBE was carried out for an optimized crystal structure of CrRe5.

The value obtained for the relative energy among the computed polymorphs is 0 meV/atom. As for the formation energy: 90 meV/atom. For the total energy, the calculation gives -11.887 eV per atom.

The structure belongs to space group Amm2 (No. 38); the cell edges are 4.4559, 2.7624 and 14.2152 Å and the angles 90.00°, 90.00° and 90.00°. Symmetry generates all atoms from Cr at (0.0000, 0.0000, 0.0000), Re at (0.0000, 0.0000, 0.3348), Re at (0.0000, 0.0000, 0.6616), Re at (0.5000, 0.0000, 0.2210), Re at (0.5000, 0.0000, 0.5522) and Re at (0.5000, 0.0000, 0.8900).

# 24
A plane-wave DFT calculation with PBE was carried out for an optimized crystal structure of CrRe.

As for the formation energy: 50 meV/atom. For the total energy, the calculation gives -10.986 eV per atom.

The structure belongs to space group Cm (No. 8); the cell edges are 9.5268, 2.9623 and 5.9837 Å and the angles 90.00°, 108.10° and 90.00°. Symmetry generates all atoms from Cr at (0.0000, 0.0000, 0.0000), Cr at (0.0171, 0.0000, 0.4884), Cr at (0.1522, 0.5000, 0.3211), Re at (0.1638, 0.5000, 0.8271), Re at (0.3335, 0.0000, 0.1790) and Re at (0.3401, 0.0000, 0.6468).

# 25
A plane-wave DFT calculation with PBE was carried out for an optimized crystal structure of CrRe5.

The value obtained for the relative energy among the computed polymorphs is 53 meV/atom. As for the formation energy: 144 meV/atom. For the total energy, the calculation gives -11.834 eV per atom.

The structure belongs to space group Cmmm (No. 65); the cell edges are 4.3896, 13.4287 and 2.9646 Å and the angles 90.00°, 90.00° and 90.00°. Symmetry generates all atoms from Cr at (0.0000, 0.0000, 0.0000), Re at (0.0000, 0.1480, 0.5000), Re at (0.0000, 0.3206, 0.0000) and Re at (0.0000, 0.5000, 0.5000).